1.
LiY2HRu | PBE | optimized geometry

Cell lengths 4.949, 4.949, 3.643 Å; angles 90.00, 90.00, 90.00 degrees
Space group P4/mmm (No. 123)
Asymmetric unit:
Li 0.000 0.000 0.000 [1 per cell]
Y 0.000 0.500 0.500 [2 per cell]
H 0.500 0.500 0.500 [1 per cell]
Ru 0.500 0.500 0.000 [1 per cell]

M_tot: 0.000 Bohr magnetons per cell
Energy above the most stable polymorph in this dataset: 41 meV per atom
Uncorrected energy: -5.7649 eV/atom

2.
LiY2HRu | PBE | optimized geometry

Cell lengths 4.847, 4.847, 3.613 Å; angles 90.00, 90.00, 90.00 degrees
Space group P4/mmm (No. 123)
Asymmetric unit:
Li 0.000 0.000 0.000 [1 per cell]
Y 0.000 0.500 0.500 [2 per cell]
H 0.000 0.000 0.500 [1 per cell]
Ru 0.500 0.500 0.000 [1 per cell]

M_tot: 0.000 Bohr magnetons per cell
Energy above the most stable polymorph in this dataset: 0 meV per atom
Uncorrected energy: -5.8063 eV/atom

3.
Li2ZnHRu | PBE | optimized geometry

Cell lengths 3.749, 3.749, 3.862 Å; angles 90.00, 90.00, 90.00 degrees
Space group P4/mmm (No. 123)
Asymmetric unit:
Li 0.000 0.500 0.000 [2 per cell]
Zn 0.000 0.000 0.500 [1 per cell]
H 0.500 0.500 0.000 [1 per cell]
Ru 0.500 0.500 0.500 [1 per cell]

M_tot: 0.415 Bohr magnetons per cell
Uncorrected energy: -3.7065 eV/atom

4.
LiZr2HRu | PBE | optimized geometry

Cell lengths 4.606, 4.606, 3.395 Å; angles 90.00, 90.00, 90.00 degrees
Space group P4/mmm (No. 123)
Asymmetric unit:
Li 0.000 0.000 0.000 [1 per cell]
Zr 0.000 0.500 0.500 [2 per cell]
H 0.000 0.000 0.500 [1 per cell]
Ru 0.500 0.500 0.000 [1 per cell]

M_tot: 0.000 Bohr magnetons per cell
Uncorrected energy: -6.6447 eV/atom

5.
LiH3S | PBE | optimized geometry

Cell lengths 3.697, 3.697, 3.697 Å; angles 90.00, 90.00, 90.00 degrees
Space group Pm-3m (No. 221)
Asymmetric unit:
Li 0.000 0.000 0.000 [1 per cell]
H 0.000 0.500 0.500 [3 per cell]
S 0.500 0.500 0.500 [1 per cell]

M_tot: 0.000 Bohr magnetons per cell
Energy above the most stable polymorph in this dataset: 0 meV per atom
Uncorrected energy: -2.8402 eV/atom

6.
Li3HS | PBE | optimized geometry

Cell lengths 3.796, 3.796, 3.796 Å; angles 90.00, 90.00, 90.00 degrees
Space group Pm-3m (No. 221)
Asymmetric unit:
Li 0.000 0.000 0.500 [3 per cell]
H 0.000 0.000 0.000 [1 per cell]
S 0.500 0.500 0.500 [1 per cell]

M_tot: 0.000 Bohr magnetons per cell
Energy above the most stable polymorph in this dataset: 0 meV per atom
Uncorrected energy: -3.5715 eV/atom

7.
LiH3S | PBE | optimized geometry

Cell lengths 3.345, 3.345, 3.345 Å; angles 90.00, 90.00, 90.00 degrees
Space group Pm-3m (No. 221)
Asymmetric unit:
Li 0.000 0.000 0.000 [1 per cell]
H 0.000 0.000 0.500 [3 per cell]
S 0.500 0.500 0.500 [1 per cell]

M_tot: 0.000 Bohr magnetons per cell
Energy above the most stable polymorph in this dataset: 431 meV per atom
Uncorrected energy: -2.4088 eV/atom

8.
Li2HS | PBE | optimized geometry

Cell lengths 3.519, 8.760, 6.114 Å; angles 90.00, 90.00, 90.00 degrees
Space group Cmcm (No. 63)
Asymmetric unit:
Li 0.000 0.143 0.023 [8 per cell]
H 0.000 0.374 0.750 [4 per cell]
S 0.000 0.406 0.250 [4 per cell]

M_tot: 0.000 Bohr magnetons per cell
Energy above the most stable polymorph in this dataset: 82 meV per atom
Uncorrected energy: -3.2308 eV/atom

9.
LiH2S | PBE | optimized geometry

Cell lengths 4.750, 6.595, 6.543 Å; angles 90.00, 90.00, 90.00 degrees
Space group Ama2 (No. 40)
Asymmetric unit:
Li 0.250 0.234 0.000 [4 per cell]
H 0.250 0.403 0.740 [4 per cell]
H 0.250 0.484 0.823 [4 per cell]
S 0.250 0.451 0.289 [4 per cell]

M_tot: 0.000 Bohr magnetons per cell
Energy above the most stable polymorph in this dataset: 0 meV per atom
Uncorrected energy: -3.5266 eV/atom

10.
LiHS3 | PBE | optimized geometry

Cell lengths 4.088, 4.088, 4.088 Å; angles 90.00, 90.00, 90.00 degrees
Space group Pm-3m (No. 221)
Asymmetric unit:
Li 0.000 0.000 0.000 [1 per cell]
H 0.500 0.500 0.500 [1 per cell]
S 0.000 0.500 0.500 [3 per cell]

M_tot: 0.000 Bohr magnetons per cell
Energy above the most stable polymorph in this dataset: 0 meV per atom
Uncorrected energy: -3.0131 eV/atom

11.
Li3H2S | PBE | optimized geometry

Cell lengths 17.323, 3.100, 5.838 Å; angles 90.00, 103.75, 90.00 degrees
Space group C2/m (No. 12)
Asymmetric unit:
Li 0.055 0.000 0.196 [4 per cell]
Li 0.098 0.500 0.779 [4 per cell]
Li 0.229 0.000 0.297 [4 per cell]
H 0.056 0.000 0.873 [4 per cell]
H 0.249 0.500 0.011 [4 per cell]
S 0.143 0.500 0.427 [4 per cell]

M_tot: 0.000 Bohr magnetons per cell
Uncorrected energy: -3.2872 eV/atom

12.
LiH2S | PBE | optimized geometry

Cell lengths 3.519, 3.519, 13.232 Å; angles 90.00, 90.00, 90.00 degrees
Space group I4_1/amd (No. 141, origin choice 2)
Asymmetric unit:
Li 0.000 0.250 0.375 [4 per cell]
H 0.000 0.000 0.000 [8 per cell]
S 0.000 0.250 0.875 [4 per cell]

M_tot: 0.000 Bohr magnetons per cell
Energy above the most stable polymorph in this dataset: 415 meV per atom
Uncorrected energy: -3.1116 eV/atom